DFT (PBE) results for crystalline LiMnCuTe3 at its relaxed geometry.

The structure belongs to space group P2_1/m (No. 11); the cell edges are 7.7375, 3.9565 and 9.3927 Å and the angles 90.00°, 102.68° and 90.00°. The asymmetric unit holds Li at (0.1592, 0.2500, 0.3053), Mn at (0.3251, 0.7500, 0.8377), Cu at (0.0691, 0.2500, 0.5851), Te at (0.0912, 0.2500, 0.8668), Te at (0.2779, 0.7500, 0.5390) and Te at (0.4239, 0.7500, 0.1395).

Its volume is 23.38 Å³ per atom. The uncorrected formation energy is -0.325 eV per atom. The theoretical density is 6.017 g/cm3.


DFT (PBE) results for crystalline Rb3Ca at its relaxed geometry.

The structure belongs to space group Imm2 (No. 44); the cell edges are 4.5754, 15.5085 and 8.2099 Å and the angles 90.00°, 90.00° and 90.00°. The asymmetric unit holds Rb at (0.0000, 0.0000, 0.0000), Rb at (0.0000, 0.2405, 0.3346) and Ca at (0.0000, 0.5000, 0.0082).

Its volume is 72.82 Å³ per atom. Its energy of formation from the pure elements is 0.17 eV/atom. The theoretical density is 1.690 g/cm3.


DFT (PBE) results for crystalline Y2AsSe at its relaxed geometry.

The structure belongs to space group Cmmm (No. 65); the cell edges are 4.5802, 5.5327 and 7.3716 Å and the angles 90.00°, 90.00° and 90.00°. The asymmetric unit holds Y at (0.0000, 0.0000, 0.2426), As at (0.0000, 0.5000, 0.0000) and Se at (0.0000, 0.5000, 0.5000).

Its volume is 23.35 Å³ per atom. The uncorrected formation energy is -1.318 eV per atom. Its energy above the most stable polymorph in this dataset is 406.8 meV per atom. The theoretical density is 5.897 g/cm3.


DFT (PBE) results for crystalline NaAcPr2 at its relaxed geometry.

The structure belongs to space group P4/mmm (No. 123); the cell edges are 6.2255, 6.2255 and 3.8911 Å and the angles 90.00°, 90.00° and 90.00°. The asymmetric unit holds Na at (0.0000, 0.0000, 0.0000), Ac at (0.5000, 0.5000, 0.0000) and Pr at (0.0000, 0.5000, 0.5000).

Its volume is 37.70 Å³ per atom. Its energy above the most stable polymorph in this dataset is 78.3 meV per atom. Its energy of formation from the pure elements is 0.20 eV/atom. The theoretical density is 5.856 g/cm3.


DFT (PBE) results for crystalline TcBi2Os at its relaxed geometry.

The structure belongs to space group I-42d (No. 122); the cell edges are 6.2554, 6.2554 and 11.9820 Å and the angles 90.00°, 90.00° and 90.00°. The asymmetric unit holds Tc at (0.0000, 0.0000, 0.0000), Bi at (0.2434, 0.2500, 0.6250) and Os at (0.0000, 0.0000, 0.5000).

Its volume is 29.30 Å³ per atom. Its energy above the most stable polymorph in this dataset is 589.3 meV per atom. Its energy of formation from the pure elements is 1.42 eV/atom. The theoretical density is 10.004 g/cm3.


DFT (PBE) results for crystalline La6Ru2Rh at its relaxed geometry.

The structure belongs to space group C2/c (No. 15); the cell edges are 12.4050, 13.4505 and 6.8038 Å and the angles 90.00°, 104.76° and 90.00°. The asymmetric unit holds La at (0.0938, 0.1033, 0.0650), La at (0.1346, 0.2801, 0.5989), La at (0.1553, 0.4368, 0.1362), Ru at (0.1781, 0.0950, 0.4986) and Rh at (0.0000, 0.4174, 0.7500).

Its volume is 30.49 Å³ per atom. Its energy above the most stable polymorph in this dataset is 13.6 meV per atom. Its energy of formation from the pure elements is -0.36 eV/atom. The theoretical density is 6.888 g/cm3.


Number 1: uncorrected energy -4.43 eV/atom. Number 2: uncorrected energy -1.06 eV/atom. Number 3: uncorrected energy -6.58 eV/atom. Number 4: uncorrected energy -3.55 eV/atom. Number 5: uncorrected energy -5.92 eV/atom. Number 6: uncorrected energy -6.52 eV/atom.